VASP calculation (PBE) on a relaxed structure of UI2Br.

Calculated values
As for the raw formation energy: -3.74 eV per formula unit. Its polymorph energy (0 for the lowest one) is 0 meV per atom.

Lattice parameters (Å, degrees): 4.513 5.777 8.604 88.95 74.82 90.00
Fractional positions:
Br: 0.000 0.500 0.000
I: 0.369 0.993 0.263
I: 0.631 0.007 0.737
U: 0.000 0.000 0.000



VASP calculation (PBE) on a relaxed structure of Ac2MgAl12Pd3.

Calculated values
Its formation energy from the elements is 0.050 eV/atom.

Lattice parameters (Å, degrees): 9.115 9.115 9.115 54.72 54.72 54.72
Fractional positions:
Al: 0.510 0.154 0.154
Al: 0.654 0.654 0.132
Al: 0.132 0.654 0.654
Al: 0.346 0.868 0.346
Al: 0.490 0.846 0.846
Al: 0.154 0.510 0.154
Al: 0.654 0.132 0.654
Al: 0.154 0.154 0.510
Al: 0.846 0.846 0.490
Al: 0.868 0.346 0.346
Al: 0.846 0.490 0.846
Al: 0.346 0.346 0.868
Ac: 0.608 0.608 0.608
Ac: 0.392 0.392 0.392
Pd: 0.000 0.000 0.500
Pd: 0.500 0.000 0.000
Pd: 0.000 0.500 0.000
Mg: 0.000 0.000 0.000



no.,total magnetic moment (μB per formula unit)
1,3.0
2,0.0